No. 1
The following is a PBE-GGA calculation of CsMnZnSe2 after structural relaxation, from Alexandria via LeMat-Bulk.

Properties
The value obtained for the total magnetization is 4.8 μB/f.u. The space-group type is P4/mmm (123). The value obtained for the formation energy from raw total energies is 0.055 eV per atom. The value obtained for the uncorrected energy is -3.60 eV/atom.

Cell: 5.3255 5.3255 4.9708 Å, 90.00 90.00 90.00°
With the nearest neighbours (Å) after each atom.
Sites, in units of the cell vectors:
Cs1 0.0000 0.0000 0.0000  8 Se 3.64, 4 Mn 3.77
Mn1 0.5000 0.5000 0.0000  2 Zn 2.49
Zn1 0.5000 0.5000 0.5000  2 Mn 2.49, 4 Se 2.66
Se1 0.0000 0.5000 0.5000  2 Zn 2.66
Se2 0.5000 0.0000 0.5000  2 Zn 2.66


No. 2
The following is a PBE-GGA calculation of LaCu4Si4 after structural relaxation, from Alexandria via LeMat-Bulk.

Properties
The value obtained for the total magnetization is 0.0 μB/f.u. The space-group type is P4_2/nmc (137). The value obtained for the formation energy from raw total energies is -0.194 eV per atom. The value obtained for the uncorrected energy is -4.97 eV/atom.

Cell: 5.9509 5.9509 8.0805 Å, 90.00 90.00 90.00°
With the nearest neighbours (Å) after each atom.
Sites, in units of the cell vectors:
La1 0.2500 0.7500 0.2500  4 Si 3.07, 8 Cu 3.42
La2 0.7500 0.2500 0.7500  4 Si 3.07, 8 Cu 3.42
Cu1 0.0016 0.2500 0.1471  5 Si 2.41-2.51, 2 Cu 2.69
Cu2 0.2500 0.0016 0.6471  5 Si 2.41-2.51, 2 Cu 2.69
Cu3 0.2500 0.4984 0.6471  5 Si 2.41-2.51, 2 Cu 2.69
Cu4 0.4984 0.2500 0.1471  5 Si 2.41-2.51, 2 Cu 2.69
Cu5 0.5016 0.7500 0.8529  5 Si 2.41-2.51, 2 Cu 2.69
Cu6 0.7500 0.5016 0.3529  5 Si 2.41-2.51, 2 Cu 2.69
Cu7 0.7500 0.9984 0.3529  5 Si 2.41-2.51, 2 Cu 2.69
Cu8 0.9984 0.7500 0.8529  5 Si 2.41-2.51, 2 Cu 2.69
Si1 0.0539 0.2500 0.4424  1 Si 2.33, 5 Cu 2.41-2.51
Si2 0.2500 0.0539 0.9424  1 Si 2.33, 5 Cu 2.41-2.51
Si3 0.2500 0.4461 0.9424  1 Si 2.33, 5 Cu 2.41-2.51
Si4 0.4461 0.2500 0.4424  1 Si 2.33, 5 Cu 2.41-2.51
Si5 0.5539 0.7500 0.5576  1 Si 2.33, 5 Cu 2.41-2.51
Si6 0.7500 0.5539 0.0576  1 Si 2.33, 5 Cu 2.41-2.51
Si7 0.7500 0.9461 0.0576  1 Si 2.33, 5 Cu 2.41-2.51
Si8 0.9461 0.7500 0.5576  1 Si 2.33, 5 Cu 2.41-2.51


No. 3
The following is a PBE-GGA calculation of CaLa2As after structural relaxation, from Alexandria via LeMat-Bulk.

Properties
The formation enthalpy at 0 K comes out at -0.55 eV per atom. The value obtained for the total magnetization is 0.0 μB/f.u. The space-group type is Imm2 (44). The value obtained for the uncorrected energy is -4.67 eV/atom.

Cell: 7.4294 7.4294 7.4294 Å, 149.84 139.86 51.02°
With the nearest neighbours (Å) after each atom.
Sites, in units of the cell vectors:
Ca1 0.0000 0.0000 0.0000  2 As 3.05
La1 0.3153 0.8153 0.5000  4 As 3.20, 2 La 3.42, 2 Ca 3.56
La2 0.6455 0.6455 0.0000  2 As 3.08, 2 La 3.42
As1 0.8245 0.3245 0.5000  2 Ca 3.05, 6 La 3.08-3.20


No. 4
The following is a PBE-GGA calculation of SrLaSm after structural relaxation, from Alexandria via LeMat-Bulk.

Properties
The calculation puts the excess energy over the best structure of this formula in the dataset at 0.014 eV/atom. The formation enthalpy at 0 K comes out at 0.10 eV per atom. The value obtained for the total magnetization is 0.0 μB/f.u. The space-group type is P3m1 (156). The value obtained for the uncorrected energy is -3.67 eV/atom.

Cell: 3.8324 3.8324 9.5305 Å, 90.00 90.00 120.00°
With the nearest neighbours (Å) after each atom.
Sites, in units of the cell vectors:
Sr1 0.0000 0.0000 0.0000  6 Sr 3.83, 3 Sm 3.96, 3 La 4.08
La1 0.6667 0.3333 0.3598  3 Sm 3.59, 6 La 3.83
Sm1 0.3333 0.6667 0.6560  3 La 3.59, 6 Sm 3.83, 3 Sr 3.96


> Among the records above, which one has the lowest uncorrected energy?

LaCu4Si4


> Look up the uncorrected energy of the fourth one.

-3.67 eV/atom